Computed, not measured: KV3Ni after structural relaxation at the PBE level of DFT.

Geometry as POSCAR:
```
KV3Ni
1.0
-4.132 0.709 -0.606
-0.813 -1.387 3.919
0.457 3.939 1.489
Ni K V
1 1 3
Cartesian
-2.244 1.631 2.401
0.000 0.000 0.000
-0.406 -0.693 1.960
0.229 1.970 0.744
-2.066 0.354 -0.303
```

## Properties
Polymorph energy (0 for the lowest one)   1307 meV per atom
Total energy   -21.53 eV per formula unit
Space group   Pm-3m, No. 221